# 1
Density functional theory data (PBE) for MnCr4Ni after structural relaxation.

- DFT total energy (eV per atom) = -8.67

Unit cell a=4.630 b=4.630 c=4.630 alpha=60.00 beta=60.00 gamma=60.00
Fractional coordinates of all 6 atoms:
Ni (0.000, 0.000, 0.000)
Cr (0.625, 0.625, 0.625)
Cr (0.124, 0.625, 0.625)
Cr (0.625, 0.124, 0.625)
Cr (0.625, 0.625, 0.124)
Mn (0.250, 0.250, 0.250)


# 2
Density functional theory data (PBE) for CePr4S7 after structural relaxation.

- energy relative to the elements, uncorrected (meV per atom) = -2022

Unit cell a=3.985 b=7.052 c=11.994 alpha=104.48 beta=90.00 gamma=106.41
Fractional coordinates of all 12 atoms:
S (0.043, 0.085, 0.783)
S (0.340, 0.681, 0.949)
S (0.740, 0.481, 0.352)
S (0.660, 0.319, 0.051)
S (0.498, 0.996, 0.500)
S (0.263, 0.526, 0.649)
S (0.957, 0.913, 0.215)
Pr (0.301, 0.602, 0.191)
Pr (0.699, 0.399, 0.811)
Pr (0.000, 0.999, 0.999)
Pr (0.112, 0.224, 0.422)
Ce (0.888, 0.776, 0.579)


# 3
Density functional theory data (PBE) for CrOs2Ru after structural relaxation.

- excess energy over the best structure of this formula in the dataset (meV/atom) = 69

Unit cell a=8.845 b=8.845 c=8.845 alpha=17.55 beta=17.55 gamma=17.55
Fractional coordinates of all 4 atoms:
Os (0.002, 0.002, 0.002)
Os (0.498, 0.498, 0.498)
Cr (0.750, 0.750, 0.750)
Ru (0.250, 0.250, 0.250)


# 4
Density functional theory data (PBE) for In2POs after structural relaxation.

- DFT total energy (eV per atom) = -5.44

Unit cell a=3.766 b=4.200 c=5.316 alpha=66.61 beta=90.00 gamma=90.00
Fractional coordinates of all 4 atoms:
P (0.500, 0.552, 0.768)
Os (0.000, 0.691, 0.494)
In (0.000, 0.978, 0.917)
In (0.500, 0.278, 0.320)


# 5
Density functional theory data (PBE) for RbAcP2 after structural relaxation.

- excess energy over the best structure of this formula in the dataset (meV/atom) = 0

Unit cell a=4.578 b=4.578 c=8.377 alpha=74.14 beta=74.14 gamma=60.00
Fractional coordinates of all 4 atoms:
P (0.231, 0.231, 0.306)
P (0.769, 0.769, 0.694)
Ac (0.500, 0.500, 0.500)
Rb (0.000, 0.000, 0.000)


# 6
Density functional theory data (PBE) for LaMg2Cu9 after structural relaxation.

- DFT total energy (eV per atom) = -3.92

Unit cell a=5.126 b=5.126 c=16.021 alpha=90.00 beta=90.00 gamma=120.00
Fractional coordinates of all 24 atoms:
Cu (0.169, 0.831, 0.122)
Cu (0.169, 0.831, 0.378)
Cu (0.333, 0.667, 0.250)
Cu (0.831, 0.663, 0.622)
Cu (0.337, 0.169, 0.622)
Cu (0.000, 0.000, 0.750)
Cu (0.663, 0.831, 0.122)
Cu (0.831, 0.663, 0.878)
Cu (0.337, 0.169, 0.878)
Cu (0.663, 0.831, 0.378)
Cu (0.000, 0.000, 0.000)
Cu (0.667, 0.333, 0.750)
Cu (0.169, 0.337, 0.122)
Cu (0.000, 0.000, 0.250)
Cu (0.831, 0.169, 0.622)
Cu (0.169, 0.337, 0.378)
Cu (0.000, 0.000, 0.500)
Cu (0.831, 0.169, 0.878)
La (0.333, 0.667, 0.750)
La (0.667, 0.333, 0.250)
Mg (0.333, 0.667, 0.970)
Mg (0.667, 0.333, 0.030)
Mg (0.333, 0.667, 0.530)
Mg (0.667, 0.333, 0.470)


# 7
Density functional theory data (PBE) for HAuNO2 after structural relaxation.

- DFT total energy (eV per atom) = -3.50

Unit cell a=4.058 b=4.058 c=2.673 alpha=90.00 beta=90.00 gamma=90.00
Fractional coordinates of all 5 atoms:
Au (0.500, 0.500, 0.500)
H (0.000, 0.000, 0.000)
O (0.500, 0.000, 0.000)
O (0.000, 0.500, 0.000)
N (0.000, 0.000, 0.500)


# 8
Density functional theory data (PBE) for Tm4RhAu2 after structural relaxation.

- DFT total energy (eV per atom) = -5.28

Unit cell a=4.914 b=4.914 c=8.516 alpha=73.23 beta=73.23 gamma=60.00
Fractional coordinates of all 7 atoms:
Tm (0.877, 0.877, 0.368)
Tm (0.123, 0.123, 0.632)
Tm (0.627, 0.627, 0.118)
Tm (0.373, 0.373, 0.882)
Au (0.246, 0.246, 0.262)
Au (0.754, 0.754, 0.738)
Rh (0.000, 0.000, 0.000)


# 9
Density functional theory data (PBE) for NdNiC after structural relaxation.

- excess energy over the best structure of this formula in the dataset (meV/atom) = 167

Unit cell a=3.972 b=3.587 c=3.587 alpha=120.00 beta=90.00 gamma=90.00
Fractional coordinates of all 3 atoms:
C (0.166, 0.667, 0.333)
Nd (0.667, 0.333, 0.667)
Ni (0.167, 0.000, 0.000)


# 10
Density functional theory data (PBE) for NdPd6Pt6 after structural relaxation.

- DFT total energy (eV per atom) = -5.86

Unit cell a=5.334 b=6.994 c=6.994 alpha=81.19 beta=67.58 gamma=67.58
Fractional coordinates of all 13 atoms:
Pd (0.000, 0.347, 0.653)
Pd (0.348, 0.652, 0.652)
Pd (0.704, 0.796, 0.796)
Pd (0.652, 0.348, 0.348)
Pd (0.296, 0.204, 0.204)
Pd (0.000, 0.653, 0.347)
Pt (0.000, 0.500, 0.000)
Pt (0.500, 0.500, 0.000)
Pt (0.500, 0.773, 0.227)
Pt (0.500, 0.000, 0.500)
Pt (0.000, 0.000, 0.500)
Pt (0.500, 0.227, 0.773)
Nd (0.000, 0.000, 0.000)


# 11
Density functional theory data (PBE) for Sc2ZnCdPd4 after structural relaxation.

- DFT total energy (eV per atom) = -5.20

Unit cell a=4.567 b=4.567 c=7.955 alpha=73.32 beta=73.32 gamma=60.00
Fractional coordinates of all 8 atoms:
Pd (0.128, 0.128, 0.615)
Pd (0.379, 0.379, 0.862)
Pd (0.872, 0.872, 0.385)
Pd (0.621, 0.621, 0.138)
Cd (0.000, 0.000, 0.000)
Zn (0.500, 0.500, 0.500)
Sc (0.249, 0.249, 0.252)
Sc (0.751, 0.751, 0.748)


# 12
Density functional theory data (PBE) for AcPr3Y2Te6 after structural relaxation.

- energy relative to the elements, uncorrected (meV per atom) = -1400

Unit cell a=7.813 b=7.813 c=7.840 alpha=99.56 beta=99.56 gamma=120.22
Fractional coordinates of all 12 atoms:
Ac (0.000, 0.000, 0.000)
Pr (0.847, 0.153, 0.500)
Pr (0.153, 0.847, 0.500)
Pr (0.500, 0.500, 0.500)
Te (0.566, 0.917, 0.751)
Te (0.083, 0.434, 0.249)
Te (0.273, 0.273, 0.765)
Te (0.917, 0.566, 0.751)
Te (0.434, 0.083, 0.249)
Te (0.727, 0.727, 0.235)
Y (0.668, 0.332, 0.000)
Y (0.332, 0.668, 0.000)